Here is crystalline Li4AgSb2Au at its relaxed geometry from the Open Quantum Materials Database. Energies are from PBE-GGA.

The space group is P-4m2 (No. 115) and the conventional cell measures 4.652, 4.652 and 6.569 Å, with angles of 90.00, 90.00 and 90.00 degrees. The asymmetric unit holds Li at (0.000, 0.000, 0.000), Li at (0.000, 0.500, 0.243), Li at (0.500, 0.500, 0.500), Ag at (0.000, 0.000, 0.500), Sb at (0.000, 0.500, 0.749) and Au at (0.500, 0.500, 0.000).

The final energy comes out at -3.243 eV per atom.

=====

Here is crystalline LiScAgAu at its relaxed geometry from the Open Quantum Materials Database. Energies are from PBE-GGA.

The space group is Pmm2 (No. 25) and the conventional cell measures 4.746, 6.476 and 4.759 Å, with angles of 90.00, 90.00 and 90.00 degrees. The asymmetric unit holds Li at (0.000, 0.250, 0.000), Sc at (0.500, 0.250, 0.526), Ag at (0.000, 0.000, 0.489), Ag at (0.500, 0.500, 0.027), Au at (0.000, 0.500, 0.492) and Au at (0.500, 0.000, 0.025).

The magnetic moment is 0.00 μB per atom. The final energy comes out at -4.017 eV per atom.

=====

Here is crystalline LiScAgAu at its relaxed geometry from the Open Quantum Materials Database. Energies are from PBE-GGA.

The space group is Pmn2_1 (No. 31) and the conventional cell measures 4.689, 4.703 and 6.511 Å, with angles of 90.00, 90.00 and 90.00 degrees. The asymmetric unit holds Li at (0.000, 0.241, 0.000), Sc at (0.000, 0.231, 0.500), Ag at (0.000, 0.730, 0.750) and Au at (0.000, 0.734, 0.250).

The magnetic moment is 0.00 μB per atom. The final energy comes out at -4.052 eV per atom.

=====

Here is crystalline LiScAgAu at its relaxed geometry from the Open Quantum Materials Database. Energies are from PBE-GGA.

The space group is P2_1/m (No. 11) and the conventional cell measures 4.705, 4.701 and 6.450 Å, with angles of 90.00, 90.27 and 90.00 degrees. The asymmetric unit holds Li at (0.240, 0.250, 0.000), Sc at (0.248, 0.250, 0.500), Ag at (0.259, 0.750, 0.788) and Au at (0.252, 0.750, 0.251).

The magnetic moment is 0.00 μB per atom. The final energy comes out at -4.069 eV per atom.

=====

Here is crystalline Li3ScAg2Au2 at its relaxed geometry from the Open Quantum Materials Database. Energies are from PBE-GGA.

The space group is Pm (No. 6) and the conventional cell measures 4.586, 4.582 and 6.376 Å, with angles of 90.00, 90.00 and 90.00 degrees. The asymmetric unit holds Li at (0.000, 0.000, 0.000), Li at (0.010, 0.000, 0.500), Li at (0.483, 0.500, 0.500), Sc at (0.486, 0.500, 0.000), Ag at (0.510, 0.000, 0.726), Ag at (0.984, 0.500, 0.274), Au at (0.504, 0.000, 0.255) and Au at (0.987, 0.500, 0.745).

The magnetic moment is 0.00 μB per atom. The final energy comes out at -3.470 eV per atom.

=====

Here is crystalline Li2Sc2Tl2AgAu at its relaxed geometry from the Open Quantum Materials Database. Energies are from PBE-GGA.

The space group is P-4m2 (No. 115) and the conventional cell measures 4.748, 4.748 and 6.725 Å, with angles of 90.00, 90.00 and 90.00 degrees. The asymmetric unit holds Li at (0.000, 0.000, 0.000), Li at (0.500, 0.500, 0.500), Sc at (0.000, 0.500, 0.745), Tl at (0.000, 0.500, 0.246), Ag at (0.500, 0.500, 0.000) and Au at (0.000, 0.000, 0.500).

The magnetic moment is 0.00 μB per atom. The final energy comes out at -3.756 eV per atom.

=====

Here is crystalline LiAgSnAu at its relaxed geometry from the Open Quantum Materials Database. Energies are from PBE-GGA.

The space group is F-43m (No. 216) and the conventional cell measures 6.675, 6.675 and 6.675 Å, with angles of 90.00, 90.00 and 90.00 degrees. The asymmetric unit holds Li at (0.000, 0.000, 0.000), Ag at (0.250, 0.250, 0.250), Sn at (0.000, 0.000, 0.500) and Au at (0.250, 0.250, 0.750).

The final energy comes out at -3.330 eV per atom.

=====

Here is crystalline LiTaAgAu at its relaxed geometry from the Open Quantum Materials Database. Energies are from PBE-GGA.

The space group is F-43m (No. 216) and the conventional cell measures 6.441, 6.441 and 6.441 Å, with angles of 90.00, 90.00 and 90.00 degrees. The asymmetric unit holds Li at (0.000, 0.000, 0.000), Ta at (0.000, 0.000, 0.500), Ag at (0.250, 0.250, 0.250) and Au at (0.250, 0.250, 0.750).

The magnetic moment is 0.00 μB per atom. The final energy comes out at -4.886 eV per atom.

=====

Question: Number 4 is which compound?
Answer: LiScAgAu

=====

Copy entry 1 word for word.
Here is crystalline Li4AgSb2Au at its relaxed geometry from the Open Quantum Materials Database. Energies are from PBE-GGA.

The space group is P-4m2 (No. 115) and the conventional cell measures 4.652, 4.652 and 6.569 Å, with angles of 90.00, 90.00 and 90.00 degrees. The asymmetric unit holds Li at (0.000, 0.000, 0.000), Li at (0.000, 0.500, 0.243), Li at (0.500, 0.500, 0.500), Ag at (0.000, 0.000, 0.500), Sb at (0.000, 0.500, 0.749) and Au at (0.500, 0.500, 0.000).

The final energy comes out at -3.243 eV per atom.

=====

Question: final energy of number 8 (LiTaAgAu)?
Answer: -4.886 eV per atom